1.
DFT (PBE) results for a geometry-optimized Ta2GaSb structure.

Calculated values
energy relative to the lowest polymorph listed for this composition = 0.0 meV per atom
DOS at the Fermi energy = 4.0 states/eV per cell
formation energy (no corrections) = 0.222 eV/atom
E = -7.49 eV/atom

The structure in POSCAR format:
```
Ta2GaSb
1.0
0.000 3.323 3.323
3.323 0.000 3.323
3.323 3.323 0.000
Ta Ga Sb
2 1 1
Direct
0.250 0.250 0.250
0.750 0.750 0.750
0.000 0.000 0.000
0.500 0.500 0.500
```

=====

2.
DFT (PBE) results for a geometry-optimized Ba2YBeNb structure.

Calculated values
DOS at the Fermi energy = 6.5 states/eV per cell
energy relative to the elements = 7.6 eV per formula unit
E = -3.30 eV/atom

The structure in POSCAR format:
```
Ba2YBeNb
1.0
6.534 0.000 0.000
0.000 6.534 0.000
0.000 0.000 5.041
Ba Y Be Nb
2 1 1 1
Direct
0.000 0.500 0.000
0.500 0.000 0.000
0.000 0.000 0.000
0.500 0.500 0.500
0.000 0.000 0.500
```

=====

3.
DFT (PBE) results for a geometry-optimized ScTlOs2 structure.

Calculated values
DOS at the Fermi energy = 4.9 states/eV per cell
energy relative to the elements = 1.6 eV per formula unit
E = -7.39 eV/atom

The structure in POSCAR format:
```
ScTlOs2
1.0
-2.008 2.008 4.273
2.008 -2.008 4.273
2.008 2.008 -4.273
Sc Tl Os
1 1 2
Direct
0.000 0.000 0.000
0.250 0.750 0.500
0.500 0.500 0.000
0.750 0.250 0.500
```

=====

4.
DFT (PBE) results for a geometry-optimized SnP3S9 structure.

Calculated values
DOS at the Fermi energy = 8.9 states/eV per cell
formation energy (no corrections) = -0.104 eV/atom
E = -4.52 eV/atom

The structure in POSCAR format:
```
SnP3S9
1.0
8.495 -4.182 0.000
8.495 4.182 0.000
-7.612 0.000 9.147
Sn P S
2 6 18
Direct
0.223 0.777 0.500
0.777 0.223 0.000
0.065 0.258 0.838
0.258 0.065 0.338
0.280 0.451 0.679
0.451 0.280 0.179
0.659 0.850 0.228
0.850 0.659 0.728
0.087 0.267 0.246
0.116 0.957 0.321
0.174 0.435 0.051
0.267 0.087 0.746
0.327 0.653 0.709
0.385 0.433 0.876
0.433 0.385 0.376
0.435 0.174 0.551
0.468 0.816 0.246
0.496 0.989 0.070
0.589 0.781 0.600
0.653 0.327 0.209
0.781 0.589 0.100
0.816 0.468 0.746
0.818 0.972 0.421
0.957 0.116 0.821
0.972 0.818 0.921
0.989 0.496 0.570
```

=====

5.
DFT (PBE) results for a geometry-optimized CrRh structure.

Calculated values
DOS at the Fermi energy = 16.2 states/eV per cell
energy relative to the elements = 0.6 eV per formula unit
E = -8.21 eV/atom

The structure in POSCAR format:
```
CrRh
1.0
8.622 0.000 0.000
-4.311 7.467 0.000
0.000 0.000 2.623
Cr Rh
6 6
Direct
0.152 0.537 0.250
0.385 0.848 0.250
0.463 0.615 0.250
0.537 0.385 0.750
0.615 0.152 0.750
0.848 0.463 0.750
0.052 0.755 0.250
0.245 0.297 0.250
0.297 0.052 0.750
0.703 0.948 0.250
0.755 0.703 0.750
0.948 0.245 0.750
```

=====

6.
DFT (PBE) results for a geometry-optimized Sb2As2Cl structure.

Calculated values
energy relative to the lowest polymorph listed for this composition = 0.0 meV per atom
DOS at the Fermi energy = 1.4 states/eV per cell
formation energy (no corrections) = -0.052 eV/atom
E = -3.93 eV/atom

The structure in POSCAR format:
```
Sb2As2Cl
1.0
-2.306 2.306 6.667
2.306 -2.306 6.667
2.306 2.306 -6.667
Sb As Cl
2 2 1
Direct
0.131 0.131 0.000
0.869 0.869 0.000
0.250 0.750 0.500
0.750 0.250 0.500
0.500 0.500 0.000
```

=====

7.
DFT (PBE) results for a geometry-optimized VRh3Cl structure.

Calculated values
energy relative to the lowest polymorph listed for this composition = 156.9 meV per atom
DOS at the Fermi energy = 9.5 states/eV per cell
formation energy (no corrections) = 0.972 eV/atom
E = -5.63 eV/atom

The structure in POSCAR format:
```
VRh3Cl
1.0
4.557 0.000 0.000
0.000 4.557 0.000
0.000 0.000 4.557
V Rh Cl
1 3 1
Direct
0.000 0.000 0.000
0.000 0.000 0.500
0.000 0.500 0.000
0.500 0.000 0.000
0.500 0.500 0.500
```

=====

8.
DFT (PBE) results for a geometry-optimized MgBRuWSe structure.

Calculated values
energy relative to the lowest polymorph listed for this composition = 218.0 meV per atom
DOS at the Fermi energy = 1.3 states/eV per cell
formation energy (no corrections) = -0.003 eV/atom
E = -6.80 eV/atom

The structure in POSCAR format:
```
MgBRuWSe
1.0
4.320 0.000 0.000
0.000 1.713 4.991
0.000 -1.713 4.991
Mg B Ru W Se
1 1 1 1 1
Direct
0.000 0.000 0.000
0.000 0.343 0.343
0.000 0.727 0.727
0.500 0.325 0.325
0.500 0.595 0.595
```